[1]
Compound: Sn2SbIr
Source: OQMD
Functional: PBE
Structure: optimized geometry

```
4
Lattice="0.000 3.541 3.541 3.541 0.000 3.541 3.541 3.541 0.000" Properties=species:S:1:pos:R:3 pbc="T T T"
Sn 0.000 0.000 0.000
Sn 1.770 1.770 1.770
Sb 3.541 3.541 3.541
Ir 5.311 5.311 5.311
```

[2]
Compound: BaCuTeIr
Source: OQMD
Functional: PBE
Structure: optimized geometry

```
4
Lattice="0.000 3.654 3.654 3.654 0.000 3.654 3.654 3.654 0.000" Properties=species:S:1:pos:R:3 pbc="T T T"
Ba 0.000 0.000 0.000
Cu 3.654 3.654 3.654
Te 5.480 5.480 5.480
Ir 1.827 1.827 1.827
```

[3]
Compound: ScPIr
Source: OQMD
Functional: PBE
Structure: optimized geometry

```
9
Lattice="7.304 0.000 0.000 -3.652 6.325 0.000 0.000 0.000 3.029" Properties=species:S:1:pos:R:3 pbc="T T T"
Sc -1.055 1.827 0.000
Sc 2.110 0.000 0.000
Sc 2.597 4.499 0.000
P 0.000 0.000 1.515
P 0.000 4.217 0.000
P 3.652 2.108 0.000
Ir -2.288 3.963 1.515
Ir 1.364 2.362 1.515
Ir 4.576 0.000 1.515
```

[4]
Compound: TaNbTe4Pb2
Source: OQMD
Functional: PBE
Structure: optimized geometry

```
8
Lattice="3.659 0.000 0.000 -1.829 3.169 0.000 0.000 0.000 20.297" Properties=species:S:1:pos:R:3 pbc="T T T"
Ta 0.000 0.000 0.000
Nb 0.000 2.112 10.149
Te 1.829 1.056 1.827
Te 1.829 1.056 8.317
Te 1.829 1.056 11.981
Te 1.829 1.056 18.470
Pb 1.829 1.056 5.085
Pb 1.829 1.056 15.212
```

[5]
Compound: Gd2Si2O7
Source: OQMD
Functional: PBE
Structure: optimized geometry

```
44
Lattice="13.739 0.000 0.000 0.000 5.045 0.000 0.000 0.000 8.249" Properties=species:S:1:pos:R:3 pbc="T T T"
Gd 1.713 0.837 0.000
Gd 1.719 0.839 3.961
Gd 5.157 3.359 4.125
Gd 5.151 3.362 8.086
Gd 8.582 1.685 0.000
Gd 8.588 1.683 3.961
Gd 12.026 4.208 4.125
Gd 12.020 4.205 8.086
Si 0.567 3.149 6.107
Si 2.494 3.155 1.978
Si 4.376 0.632 6.103
Si 6.302 0.627 1.983
Si 7.436 4.418 6.107
Si 9.363 4.412 1.978
Si 11.245 1.890 6.103
Si 13.172 1.895 1.983
O 0.664 3.980 7.500
O 0.668 3.983 4.716
O 1.089 2.230 1.981
O 1.394 1.751 6.105
O 2.136 4.729 1.980
O 3.192 2.595 0.624
O 3.202 2.592 3.326
O 3.668 0.070 7.450
O 3.677 0.073 4.748
O 4.733 2.207 6.105
O 5.475 4.273 1.980
O 5.780 4.752 6.106
O 6.201 1.460 0.591
O 6.206 1.458 3.375
O 7.533 3.587 7.500
O 7.538 3.584 4.716
O 7.958 0.293 1.981
O 8.263 0.771 6.105
O 9.006 2.838 1.980
O 10.062 4.972 0.624
O 10.071 4.974 3.326
O 10.537 2.452 7.450
O 10.546 2.450 4.748
O 11.602 0.315 6.105
O 12.345 3.294 1.980
O 12.650 2.815 6.106
O 13.070 1.062 0.591
O 13.075 1.065 3.375
```

[6]
Compound: Dy2Ho2CI2Br3
Source: OQMD
Functional: PBE
Structure: optimized geometry

```
10
Lattice="9.243 -1.927 0.000 9.243 1.927 0.000 -1.735 0.000 7.979" Properties=species:S:1:pos:R:3 pbc="T T T"
Dy 2.339 0.000 0.561
Dy 14.412 0.000 7.418
Ho 8.889 0.000 1.586
Ho 7.862 0.000 6.393
C 0.000 0.000 0.000
I 5.757 0.000 1.530
I 10.993 0.000 6.449
Br -0.868 0.000 3.990
Br 5.189 0.000 5.302
Br 11.561 0.000 2.677
```

[7]
Compound: Nd2DyAl3FeCu2
Source: OQMD
Functional: PBE
Structure: optimized geometry

```
9
Lattice="4.101 0.000 0.000 0.000 6.214 3.521 0.000 -6.214 3.521" Properties=species:S:1:pos:R:3 pbc="T T T"
Nd 0.000 -3.636 3.521
Nd 0.000 3.636 3.521
Dy 0.000 0.000 4.373
Al 2.050 -1.399 2.295
Al 2.050 1.399 2.295
Al 2.050 0.000 6.892
Fe 0.000 0.000 1.504
Cu 2.050 -2.000 4.965
Cu 2.050 2.000 4.965
```

[8]
Compound: Er2Be2O5
Source: OQMD
Functional: PBE
Structure: optimized geometry

```
9
Lattice="3.769 0.000 0.000 0.000 3.769 0.000 0.000 0.000 8.521" Properties=species:S:1:pos:R:3 pbc="T T T"
Er 0.000 0.000 2.048
Er 0.000 0.000 6.473
Be 1.884 1.884 0.000
Be 1.884 1.884 4.261
O 0.000 0.000 4.261
O 0.000 1.884 1.125
O 0.000 1.884 7.396
O 1.884 0.000 1.125
O 1.884 0.000 7.396
```

Q: Which electronic total energy values were calculated for the entries above? A: -4.92, -3.90, -7.46, -5.55, -8.20, -4.86, -4.89, -6.20, in eV per atom.
Q: Which spin magnetization values were calculated for the entries above? A: 0.00, 0.05, 0.01, 0.03, 0.00, 0.03, 1.98, 0.81, in μB/cell.